(1)
DFT (PBE) results for a geometry-optimized Li2In3Au3 structure.

- Total energy: -49.64 eV per cell
- Energy of formation from the pure elements: -2.95 eV/f.u.
- Fermi-level density of states: 5.4 states/eV per cell
- Space-group type: P6_3/mcm (193)

Unit cell a=5.574 b=8.229 c=8.229 alpha=60.00 beta=90.00 gamma=90.00
Positions (direct):
In  0.250  0.721  0.279
In  0.750  0.000  0.279
In  0.250  0.000  0.721
In  0.750  0.279  0.721
In  0.750  0.721  0.000
In  0.250  0.279  0.000
Au  0.250  0.000  0.380
Au  0.250  0.380  0.620
Au  0.750  0.380  0.000
Au  0.750  0.620  0.380
Au  0.250  0.620  0.000
Au  0.750  0.000  0.620
Li  0.500  0.667  0.667
Li  0.000  0.333  0.333
Li  0.000  0.667  0.667
Li  0.500  0.333  0.333

(2)
DFT (PBE) results for a geometry-optimized LiInAu3 structure.

- Total energy: -31.84 eV per cell
- Energy relative to the lowest polymorph listed for this composition: 0.057 eV/atom
- Energy of formation from the pure elements: -1.43 eV/f.u.
- Fermi-level density of states: 3.9 states/eV per cell
- Space-group type: P2_1/m (11)

Unit cell a=4.839 b=5.795 c=6.945 alpha=90.00 beta=109.77 gamma=90.00
Positions (direct):
Au  0.607  0.250  0.215
Au  0.822  0.497  0.640
Au  0.178  0.503  0.360
Au  0.178  0.997  0.360
Au  0.393  0.750  0.785
Au  0.822  0.003  0.640
Li  0.008  0.250  0.016
Li  0.992  0.750  0.984
In  0.391  0.250  0.778
In  0.609  0.750  0.222

(3)
DFT (PBE) results for a geometry-optimized Li6In2Au structure.

- Total energy: -23.06 eV per cell
- Energy relative to the lowest polymorph listed for this composition: 0.013 eV/atom
- Energy of formation from the pure elements: -2.83 eV/f.u.
- Fermi-level density of states: 3.5 states/eV per cell
- Space-group type: C2/m (12)

Unit cell a=2.876 b=7.930 c=7.930 alpha=59.98 beta=89.87 gamma=89.87
Positions (direct):
In  0.000  0.333  0.333
In  0.000  0.667  0.667
Li  0.495  0.676  0.000
Li  0.500  0.676  0.324
Li  0.505  0.324  0.000
Li  0.505  0.000  0.324
Li  0.495  0.000  0.676
Li  0.500  0.324  0.676
Au  0.000  0.000  0.000

(4)
DFT (PBE) results for a geometry-optimized LiLuInAu structure.

- Total energy: -14.86 eV per cell
- Energy of formation from the pure elements: -2.41 eV/f.u.
- Fermi-level density of states: 0.7 states/eV per cell
- Space-group type: F-43m (216)

Unit cell a=4.792 b=4.792 c=4.792 alpha=60.00 beta=60.00 gamma=60.00
Positions (direct):
Lu  0.750  0.750  0.750
Au  0.000  0.000  0.000
Li  0.500  0.500  0.500
In  0.250  0.250  0.250

(5)
DFT (PBE) results for a geometry-optimized Li2InMoAu structure.

- Total energy: -16.17 eV per cell
- Energy of formation from the pure elements: 4.50 eV/f.u.
- Fermi-level density of states: 2.3 states/eV per cell
- Space-group type: P4/mmm (123)

Unit cell a=4.772 b=5.213 c=4.772 alpha=90.00 beta=90.00 gamma=90.00
Positions (direct):
In  0.000  0.000  0.000
Au  0.500  0.500  0.500
Li  0.500  0.000  0.000
Li  0.000  0.000  0.500
Mo  0.000  0.500  0.000

(6)
DFT (PBE) results for a geometry-optimized Li2InAuN structure.

- Total energy: -19.47 eV per cell
- Formation energy (no corrections): -0.26 eV per atom
- Fermi-level density of states: 0.9 states/eV per cell
- Space-group type: P4/mmm (123)

Unit cell a=4.119 b=4.119 c=4.486 alpha=90.00 beta=90.00 gamma=90.00
Positions (direct):
N  0.000  0.000  0.000
In  0.000  0.000  0.500
Li  0.000  0.500  0.000
Li  0.500  0.000  0.000
Au  0.500  0.500  0.500

(7)
DFT (PBE) results for a geometry-optimized NaLi2InAu structure.

- Total energy: -12.08 eV per cell
- Energy of formation from the pure elements: -0.92 eV/f.u.
- Fermi-level density of states: 1.3 states/eV per cell
- Space-group type: P4/mmm (123)

Unit cell a=5.023 b=5.023 c=5.217 alpha=90.00 beta=90.00 gamma=90.00
Positions (direct):
In  0.000  0.000  0.500
Au  0.000  0.000  0.000
Na  0.500  0.500  0.500
Li  0.500  0.000  0.000
Li  0.000  0.500  0.000

(8)
DFT (PBE) results for a geometry-optimized NaLiInAu structure.

- Total energy: -10.51 eV per cell
- Energy relative to the lowest polymorph listed for this composition: 0.006 eV/atom
- Energy of formation from the pure elements: -1.26 eV/f.u.
- Fermi-level density of states: 0.9 states/eV per cell
- Space-group type: F-43m (216)

Unit cell a=4.815 b=4.815 c=4.815 alpha=60.00 beta=60.00 gamma=60.00
Positions (direct):
Li  0.250  0.250  0.250
In  0.750  0.750  0.750
Au  0.000  0.000  0.000
Na  0.500  0.500  0.500

(9)
DFT (PBE) results for a geometry-optimized Na2LiInAu6 structure.

- Total energy: -29.62 eV per cell
- Energy of formation from the pure elements: -2.67 eV/f.u.
- Fermi-level density of states: 2.4 states/eV per cell
- Space-group type: P-1 (2)

Unit cell a=6.859 b=6.869 c=9.741 alpha=44.30 beta=44.08 gamma=69.00
Positions (direct):
Li  0.500  0.500  0.000
Au  0.679  0.817  0.999
Au  0.741  0.262  0.185
Au  0.819  0.678  0.505
Au  0.181  0.322  0.495
Au  0.321  0.183  0.001
Au  0.259  0.738  0.815
Na  0.239  0.760  0.509
Na  0.761  0.240  0.491
In  0.000  0.000  0.000

(10)
DFT (PBE) results for a geometry-optimized NaLiInAu structure.

- Total energy: -10.54 eV per cell
- Energy relative to the lowest polymorph listed for this composition: 0.000 eV/atom
- Energy of formation from the pure elements: -1.29 eV/f.u.
- Fermi-level density of states: 1.3 states/eV per cell
- Space-group type: I-4m2 (119)

Unit cell a=4.858 b=4.858 c=4.813 alpha=120.38 beta=120.31 gamma=90.00
Positions (direct):
Li  0.500  0.500  0.000
Au  0.000  0.000  0.000
In  0.250  0.750  0.500
Na  0.750  0.250  0.500

(11)
DFT (PBE) results for a geometry-optimized LiNdIn2Au4 structure.

- Total energy: -29.54 eV per cell
- Energy of formation from the pure elements: -4.27 eV/f.u.
- Fermi-level density of states: 3.4 states/eV per cell
- Space-group type: R-3m (166)

Unit cell a=4.765 b=4.765 c=8.914 alpha=74.50 beta=74.50 gamma=60.00
Positions (direct):
In  0.756  0.756  0.731
In  0.244  0.244  0.269
Au  0.131  0.131  0.607
Au  0.869  0.869  0.393
Au  0.392  0.392  0.825
Au  0.608  0.608  0.175
Nd  0.000  0.000  0.000
Li  0.500  0.500  0.500

(12)
DFT (PBE) results for a geometry-optimized Li2NdInAu4 structure.

- Total energy: -28.84 eV per cell
- Energy of formation from the pure elements: -4.39 eV/f.u.
- Fermi-level density of states: 3.0 states/eV per cell
- Space-group type: R-3m (166)

Unit cell a=4.573 b=4.573 c=9.361 alpha=75.86 beta=75.86 gamma=60.00
Positions (direct):
Au  0.606  0.606  0.183
Au  0.120  0.120  0.640
Au  0.880  0.880  0.360
Au  0.394  0.394  0.817
Nd  0.000  0.000  0.000
Li  0.762  0.762  0.713
Li  0.238  0.238  0.287
In  0.500  0.500  0.500

(13)
DFT (PBE) results for a geometry-optimized LiNdInAu structure.

- Total energy: -15.14 eV per cell
- Energy of formation from the pure elements: -2.44 eV/f.u.
- Fermi-level density of states: 0.6 states/eV per cell
- Space-group type: F-43m (216)

Unit cell a=4.960 b=4.960 c=4.960 alpha=60.00 beta=60.00 gamma=60.00
Positions (direct):
Li  0.500  0.500  0.500
Nd  0.750  0.750  0.750
In  0.250  0.250  0.250
Au  0.000  0.000  0.000

(14)
DFT (PBE) results for a geometry-optimized LiNd2InAu6 structure.

- Total energy: -38.61 eV per cell
- Energy of formation from the pure elements: -4.76 eV/f.u.
- Fermi-level density of states: 5.0 states/eV per cell
- Space-group type: P-1 (2)

Unit cell a=9.353 b=5.562 c=7.059 alpha=68.00 beta=48.31 gamma=94.29
Positions (direct):
Li  0.500  0.500  0.000
Au  0.249  0.753  0.054
Au  0.170  0.185  0.170
Au  0.751  0.247  0.946
Au  0.441  0.295  0.450
Au  0.830  0.815  0.830
Au  0.559  0.705  0.550
Nd  0.748  0.251  0.507
Nd  0.252  0.749  0.493
In  0.000  0.000  0.000

(15)
DFT (PBE) results for a geometry-optimized LiInNi2Au structure.

- Total energy: -15.96 eV per cell
- Energy of formation from the pure elements: 3.53 eV/f.u.
- Fermi-level density of states: 6.3 states/eV per cell
- Space-group type: P4/mmm (123)

Unit cell a=4.838 b=5.101 c=4.838 alpha=90.00 beta=90.00 gamma=90.00
Positions (direct):
Au  0.000  0.000  0.000
Li  0.500  0.500  0.500
Ni  0.000  0.000  0.500
Ni  0.500  0.000  0.000
In  0.000  0.500  0.000

(16)
DFT (PBE) results for a geometry-optimized LiInAu2O6 structure.

- Total energy: -95.03 eV per cell
- Formation energy (no corrections): -0.66 eV per atom
- Space-group type: C2/c (15)

Unit cell a=5.358 b=7.130 c=7.130 alpha=99.50 beta=88.05 gamma=88.05
Positions (direct):
O  0.930  0.094  0.184
O  0.518  0.863  0.338
O  0.018  0.338  0.863
O  0.482  0.137  0.662
O  0.337  0.498  0.378
O  0.982  0.662  0.137
O  0.163  0.622  0.502
O  0.070  0.906  0.816
O  0.430  0.184  0.094
O  0.570  0.816  0.906
O  0.663  0.502  0.622
O  0.837  0.378  0.498
In  0.250  0.908  0.092
In  0.750  0.092  0.908
Li  0.250  0.367  0.633
Li  0.750  0.633  0.367
Au  0.800  0.584  0.884
Au  0.300  0.884  0.584
Au  0.200  0.416  0.116
Au  0.700  0.116  0.416

(17)
DFT (PBE) results for a geometry-optimized Li2InAuO structure.

- Total energy: -19.82 eV per cell
- Formation energy (no corrections): -1.00 eV per atom
- Fermi-level density of states: 0.8 states/eV per cell
- Space-group type: P4/mmm (123)

Unit cell a=3.969 b=3.969 c=4.854 alpha=90.00 beta=90.00 gamma=90.00
Positions (direct):
Li  0.000  0.500  0.000
Li  0.500  0.000  0.000
In  0.000  0.000  0.500
Au  0.500  0.500  0.500
O  0.000  0.000  0.000

(18)
DFT (PBE) results for a geometry-optimized Li2In2AuO6 structure.

- Total energy: -55.14 eV per cell
- Formation energy (no corrections): -1.16 eV per atom
- Fermi-level density of states: 0.8 states/eV per cell
- Space-group type: C2/m (12)

Unit cell a=5.697 b=5.697 c=5.209 alpha=96.57 beta=96.57 gamma=121.82
Positions (direct):
In  0.665  0.335  0.500
In  0.335  0.665  0.500
O  0.623  0.962  0.272
O  0.743  0.743  0.720
O  0.257  0.257  0.280
O  0.377  0.038  0.728
O  0.962  0.623  0.272
O  0.038  0.377  0.728
Li  0.145  0.855  0.000
Li  0.855  0.145  0.000
Au  0.000  0.000  0.500

(19)
DFT (PBE) results for a geometry-optimized Li2InPbAu4 structure.

- Total energy: -26.09 eV per cell
- Energy of formation from the pure elements: -2.70 eV/f.u.
- Fermi-level density of states: 2.9 states/eV per cell
- Space-group type: R-3m (166)

Unit cell a=4.738 b=4.738 c=8.401 alpha=73.62 beta=73.62 gamma=60.00
Positions (direct):
Au  0.131  0.131  0.608
Au  0.869  0.869  0.392
Au  0.618  0.618  0.147
Au  0.382  0.382  0.853
Pb  0.000  0.000  0.000
Li  0.250  0.250  0.250
Li  0.750  0.750  0.750
In  0.500  0.500  0.500

(20)
DFT (PBE) results for a geometry-optimized LiInPdAu structure.

- Total energy: -15.11 eV per cell
- Energy of formation from the pure elements: -1.99 eV/f.u.
- Fermi-level density of states: 1.3 states/eV per cell
- Space-group type: I-4m2 (119)

Unit cell a=4.260 b=4.260 c=4.784 alpha=116.40 beta=116.43 gamma=90.00
Positions (direct):
In  0.500  0.500  0.000
Li  0.000  0.000  0.000
Au  0.750  0.250  0.500
Pd  0.250  0.750  0.500